Here is an optimized crystal structure of Nd2DyIn2Hg2 from Alexandria via LeMat-Bulk. Energies are from PBE-GGA.

Structure (CIF):
```
data_Nd2DyIn2Hg2
_symmetry_space_group_name_H-M 'P 1'
_symmetry_Int_Tables_number 1
_cell_length_a 9.818
_cell_length_b 9.818
_cell_length_c 9.818
_cell_angle_alpha 29.02
_cell_angle_beta 29.02
_cell_angle_gamma 29.02
loop_
_symmetry_equiv_pos_as_xyz
'x,y,z'
loop_
_atom_site_label
_atom_site_fract_x
_atom_site_fract_y
_atom_site_fract_z
Nd1 0.127 0.127 0.127
Nd2 0.873 0.873 0.873
Dy1 0.000 0.000 0.000
In1 0.260 0.260 0.260
In2 0.740 0.740 0.740
Hg1 0.387 0.387 0.387
Hg2 0.613 0.613 0.613
```

Summary:
Total energy ... -0.1172 Ha/atom
DFT formation energy ... -0.30 eV/atom